Compound: LaAs2RuRh
Source: Alexandria via LeMat-Bulk
Functional: PBE
Structure: optimized geometry

```
LaAs2RuRh
1.0
4.117 0.000 0.000
0.000 4.117 0.000
0.000 0.000 11.463
La As Ru Rh
2 4 2 2
Cartesian
0.000 0.000 0.000
2.058 2.058 5.731
0.000 0.000 4.208
0.000 0.000 7.254
2.058 2.058 1.523
2.058 2.058 9.939
0.000 2.058 8.597
2.058 0.000 2.866
0.000 2.058 2.866
2.058 0.000 8.597
```

=====

Compound: CrOsPb2
Source: Alexandria via LeMat-Bulk
Functional: PBE
Structure: optimized geometry

```
CrOsPb2
1.0
9.870 0.000 0.000
0.000 3.371 0.000
-3.377 0.000 5.339
Cr Os Pb
2 2 4
Cartesian
0.000 0.000 0.000
4.935 1.685 0.000
1.725 0.000 3.850
6.661 1.685 3.850
-0.494 1.685 2.858
2.243 1.685 0.824
4.441 0.000 2.858
7.178 0.000 0.824
```

- Offset from the most stable computed form: 0.318 eV/atom

=====

Compound: HfHgIr3
Source: Alexandria via LeMat-Bulk
Functional: PBE
Structure: optimized geometry

```
HfHgIr3
1.0
4.832 0.000 0.000
0.000 4.832 0.000
0.000 0.000 4.832
Hf Hg Ir
1 1 3
Cartesian
0.000 0.000 0.000
2.416 2.416 2.416
0.000 2.416 2.416
2.416 0.000 2.416
2.416 2.416 0.000
```

- Offset from the most stable computed form: 0.449 eV/atom

=====

Compound: MnTcNi
Source: Alexandria via LeMat-Bulk
Functional: PBE
Structure: optimized geometry

```
MnTcNi
1.0
5.532 0.000 0.000
0.000 5.532 0.000
0.000 0.000 5.532
Mn Tc Ni
4 4 4
Cartesian
0.000 0.000 0.000
0.000 2.766 2.766
2.766 0.000 2.766
2.766 2.766 0.000
1.383 1.383 4.149
1.383 4.149 1.383
4.149 1.383 1.383
4.149 4.149 4.149
1.383 1.383 1.383
1.383 4.149 4.149
4.149 1.383 4.149
4.149 4.149 1.383
```

- Offset from the most stable computed form: 0.446 eV/atom

=====

Compound: Ce2TlCo
Source: Alexandria via LeMat-Bulk
Functional: PBE
Structure: optimized geometry

```
Ce2TlCo
1.0
4.798 0.000 0.000
0.000 11.104 0.000
0.000 0.000 6.876
Ce Tl Co
8 4 4
Cartesian
1.200 1.219 0.000
1.200 4.332 3.438
1.200 7.656 1.842
1.200 8.999 5.280
3.599 2.104 5.280
3.599 3.448 1.842
3.599 6.771 3.438
3.599 9.884 0.000
1.200 1.083 3.296
1.200 4.469 6.734
3.599 6.635 6.734
3.599 10.021 3.296
1.200 6.477 4.793
1.200 10.179 1.355
3.599 0.925 1.355
3.599 4.627 4.793
```

- Offset from the most stable computed form: 0.045 eV/atom

=====

Compound: TiGeAs3
Source: Alexandria via LeMat-Bulk
Functional: PBE
Structure: optimized geometry

```
TiGeAs3
1.0
4.887 0.000 0.000
0.000 4.887 0.000
0.000 0.000 4.887
Ti Ge As
1 1 3
Cartesian
0.000 0.000 0.000
2.443 2.443 2.443
0.000 0.000 2.443
0.000 2.443 0.000
2.443 0.000 0.000
```

- Offset from the most stable computed form: 0.000 eV/atom

=====

Calculated formation energy from the elements, -0.85 0.72 1.84 0.49 -0.13 0.26 eV per atom (same order as the records).